No. 1
The following is a DFT calculation (GGA-PBE) of a geometry-optimized BaY2As structure.

Summary:
energy of formation = -0.196 eV per atom

abc: 4.7849 4.9040 4.9192
angles: 90.00 90.00 90.00
Space group Pmmm (No. 47)
Asymmetric unit:
Ba 0.0000 0.0000 0.0000 x1
Y 0.5000 0.0000 0.5000 x1
Y 0.5000 0.5000 0.0000 x1
As 0.0000 0.5000 0.5000 x1

No. 2
The following is a DFT calculation (GGA-PBE) of a geometry-optimized TaCd2Ni structure.

Summary:
energy of formation = 0.317 eV per atom
relative energy among the computed polymorphs = 286 meV/atom

abc: 2.8336 4.5746 5.5270
angles: 90.00 103.10 90.00
Space group P2/m (No. 10)
Asymmetric unit:
Ta 0.0000 0.0000 0.0000 x1
Cd 0.3433 0.5000 0.7354 x2
Ni 0.5000 0.0000 0.5000 x1

No. 3
The following is a DFT calculation (GGA-PBE) of a geometry-optimized RbSrCa2As structure.

Summary:
energy of formation = -0.379 eV per atom

abc: 5.9397 5.9397 6.2734
angles: 90.00 90.00 90.00
Space group P4/mmm (No. 123)
Asymmetric unit:
Rb 0.0000 0.0000 0.0000 x1
Sr 0.5000 0.5000 0.0000 x1
Ca 0.0000 0.5000 0.5000 x2
As 0.5000 0.5000 0.5000 x1

No. 4
The following is a DFT calculation (GGA-PBE) of a geometry-optimized K2AgW structure.

Summary:
energy of formation = 1.326 eV per atom
relative energy among the computed polymorphs = 304 meV/atom

abc: 2.7896 5.7387 6.3170
angles: 90.00 90.00 90.00
Space group Pmmm (No. 47)
Asymmetric unit:
K 0.0000 0.0000 0.2495 x2
Ag 0.5000 0.5000 0.0000 x1
W 0.5000 0.5000 0.5000 x1

No. 5
The following is a DFT calculation (GGA-PBE) of a geometry-optimized Rb2CeAuO4 structure.

Summary:
ΔE_f (raw) = -13.1 eV per formula unit

abc: 6.6094 6.6094 7.5287
angles: 90.00 90.00 90.00
Space group I-4 (No. 82)
Asymmetric unit:
Rb 0.0000 0.0000 0.0000 x2
Rb 0.0000 0.5000 0.2500 x2
Ce 0.0000 0.0000 0.5000 x2
Au 0.0000 0.5000 0.7500 x2
O 0.1401 0.2123 0.6762 x8

No. 6
The following is a DFT calculation (GGA-PBE) of a geometry-optimized SrPm5Hg6 structure.

Summary:
energy of formation = -0.475 eV per atom

abc: 5.4226 16.2463 7.7151
angles: 90.00 90.00 90.00
Space group Cmmm (No. 65)
Asymmetric unit:
Sr 0.0000 0.0000 0.0000 x2
Pm 0.0000 0.0000 0.5000 x2
Pm 0.0000 0.3342 0.0000 x4
Pm 0.0000 0.3351 0.5000 x4
Hg 0.0000 0.1711 0.2542 x8
Hg 0.0000 0.5000 0.2587 x4

No. 7
The following is a DFT calculation (GGA-PBE) of a geometry-optimized NpAg3Cl8 structure.

Summary:
ΔE_f (raw) = -11.3 eV per formula unit

abc: 13.1923 8.1905 7.6700
angles: 90.00 120.70 90.00
Space group C2/m (No. 12)
Asymmetric unit:
Np 0.0000 0.0000 0.0000 x2
Ag 0.0000 0.5000 0.0000 x2
Ag 0.2500 0.2500 0.5000 x4
Cl 0.0086 0.2175 0.7695 x8
Cl 0.2179 0.5000 0.2788 x4
Cl 0.2250 0.0000 0.2030 x4

No. 8
The following is a DFT calculation (GGA-PBE) of a geometry-optimized TlNiBr2 structure.

Summary:
ΔE_f (raw) = 1.6 eV per formula unit
relative energy among the computed polymorphs = 744 meV/atom

abc: 7.3917 7.3917 7.3917
angles: 90.00 90.00 90.00
Space group F-43m (No. 216)
Asymmetric unit:
Tl 0.0000 0.0000 0.0000 x4
Ni 0.2500 0.2500 0.7500 x4
Br 0.0000 0.0000 0.5000 x4
Br 0.2500 0.2500 0.2500 x4

No. 9
The following is a DFT calculation (GGA-PBE) of a geometry-optimized Ti3CuIr structure.

Summary:
energy of formation = 0.081 eV per atom
relative energy among the computed polymorphs = 0 meV/atom

abc: 6.7097 11.6030 4.3043
angles: 90.00 90.00 90.00
Space group Cmcm (No. 63)
Asymmetric unit:
Ti 0.0000 0.1964 0.2500 x4
Ti 0.2054 0.4020 0.2500 x8
Cu 0.0000 0.0000 0.0000 x4
Ir 0.0000 0.3336 0.7500 x4

No. 10
The following is a DFT calculation (GGA-PBE) of a geometry-optimized Hf2AuI structure.

Summary:
ΔE_f (raw) = 0.0 eV per formula unit
relative energy among the computed polymorphs = 0 meV/atom

abc: 6.9772 6.9772 6.9772
angles: 90.00 90.00 90.00
Space group Fm-3m (No. 225)
Asymmetric unit:
Hf 0.2500 0.2500 0.2500 x8
Au 0.0000 0.0000 0.0000 x4
I 0.0000 0.0000 0.5000 x4

No. 11
The following is a DFT calculation (GGA-PBE) of a geometry-optimized LaMoN3 structure.

Summary:
ΔE_f (raw) = -3.7 eV per formula unit

abc: 7.4208 6.8638 7.1427
angles: 90.00 116.94 90.00
Space group P2_1/c (No. 14)
Asymmetric unit:
La 0.1182 0.2426 0.0261 x4
Mo 0.3133 0.6227 0.8886 x4
N 0.0334 0.5577 0.8020 x4
N 0.2846 0.7154 0.6371 x4
N 0.3765 0.1490 0.4050 x4

No. 12
The following is a DFT calculation (GGA-PBE) of a geometry-optimized KGaOs2F structure.

Summary:
ΔE_f (raw) = 5.1 eV per formula unit

abc: 4.6714 4.6714 5.5609
angles: 90.00 90.00 90.00
Space group P4/mmm (No. 123)
Asymmetric unit:
K 0.0000 0.0000 0.0000 x1
Ga 0.5000 0.5000 0.5000 x1
Os 0.0000 0.5000 0.5000 x2
F 0.5000 0.5000 0.0000 x1

No. 13
The following is a DFT calculation (GGA-PBE) of a geometry-optimized ScZn3Hg structure.

Summary:
energy of formation = 0.699 eV per atom
relative energy among the computed polymorphs = 792 meV/atom

abc: 5.3989 5.3989 5.3989
angles: 90.00 90.00 90.00
Space group Pm-3m (No. 221)
Asymmetric unit:
Sc 0.0000 0.0000 0.0000 x1
Zn 0.0000 0.0000 0.5000 x3
Hg 0.5000 0.5000 0.5000 x1

No. 14
The following is a DFT calculation (GGA-PBE) of a geometry-optimized TlHgN structure.

Summary:
ΔE_f (raw) = 2.4 eV per formula unit
relative energy among the computed polymorphs = 738 meV/atom

abc: 3.8413 4.0191 9.1006
angles: 90.12 92.86 90.03
Space group P-1 (No. 2)
Asymmetric unit:
Tl 0.2090 0.2509 0.1259 x2
Hg 0.2636 0.2478 0.6254 x2
N 0.2759 0.7480 0.6986 x2

No. 15
The following is a DFT calculation (GGA-PBE) of a geometry-optimized La2Nd3In3 structure.

Summary:
energy of formation = -0.365 eV per atom

abc: 4.5970 5.0511 21.1924
angles: 90.00 90.00 90.00
Space group Immm (No. 71)
Asymmetric unit:
La 0.0000 0.0000 0.2376 x4
Nd 0.0000 0.0000 0.0000 x2
Nd 0.0000 0.5000 0.1178 x4
In 0.0000 0.0000 0.5000 x2
In 0.0000 0.5000 0.3776 x4

No. 16
The following is a DFT calculation (GGA-PBE) of a geometry-optimized MgBi3Os structure.

Summary:
energy of formation = 0.695 eV per atom
relative energy among the computed polymorphs = 0 meV/atom

abc: 5.3726 5.3726 5.3726
angles: 90.00 90.00 90.00
Space group Pm-3m (No. 221)
Asymmetric unit:
Mg 0.0000 0.0000 0.0000 x1
Bi 0.0000 0.5000 0.5000 x3
Os 0.5000 0.5000 0.5000 x1

No. 17
The following is a DFT calculation (GGA-PBE) of a geometry-optimized BaLiCa structure.

Summary:
energy of formation = 0.040 eV per atom
relative energy among the computed polymorphs = 9 meV/atom

abc: 4.2071 4.2071 14.2136
angles: 90.00 90.00 90.00
Space group I4mm (No. 107)
Asymmetric unit:
Ba 0.0000 0.0000 0.0000 x2
Li 0.0000 0.0000 0.6658 x2
Ca 0.0000 0.0000 0.2872 x2

No. 18
The following is a DFT calculation (GGA-PBE) of a geometry-optimized NaYTl2 structure.

Summary:
energy of formation = -0.269 eV per atom

abc: 5.2797 5.2797 3.8752
angles: 90.00 90.00 90.00
Space group P4/mmm (No. 123)
Asymmetric unit:
Na 0.0000 0.0000 0.0000 x1
Y 0.5000 0.5000 0.0000 x1
Tl 0.0000 0.5000 0.5000 x2

No. 19
The following is a DFT calculation (GGA-PBE) of a geometry-optimized CrAsPb2 structure.

Summary:
energy of formation = 0.133 eV per atom

abc: 3.5332 3.6098 15.7911
angles: 90.00 90.00 90.00
Space group Immm (No. 71)
Asymmetric unit:
Cr 0.0000 0.0000 0.0000 x2
As 0.0000 0.0000 0.5000 x2
Pb 0.0000 0.5000 0.3331 x4

No. 20
The following is a DFT calculation (GGA-PBE) of a geometry-optimized InFeOs2 structure.

Summary:
energy of formation = 0.544 eV per atom

abc: 3.9503 3.9503 7.7915
angles: 90.00 90.00 90.00
Space group I4/mmm (No. 139)
Asymmetric unit:
In 0.0000 0.0000 0.0000 x2
Fe 0.0000 0.0000 0.5000 x2
Os 0.0000 0.5000 0.2500 x4

No. 21
The following is a DFT calculation (GGA-PBE) of a geometry-optimized YBe3Al structure.

Summary:
energy of formation = 0.473 eV per atom
relative energy among the computed polymorphs = 0 meV/atom

abc: 4.3039 4.3039 4.3039
angles: 90.00 90.00 90.00
Space group Pm-3m (No. 221)
Asymmetric unit:
Y 0.0000 0.0000 0.0000 x1
Be 0.0000 0.5000 0.5000 x3
Al 0.5000 0.5000 0.5000 x1

No. 22
The following is a DFT calculation (GGA-PBE) of a geometry-optimized MgInAu2 structure.

Summary:
energy of formation = -0.226 eV per atom

abc: 6.7795 6.7795 6.7795
angles: 90.00 90.00 90.00
Space group F-43m (No. 216)
Asymmetric unit:
Mg 0.0000 0.0000 0.0000 x4
In 0.2500 0.2500 0.7500 x4
Au 0.0000 0.0000 0.5000 x4
Au 0.2500 0.2500 0.2500 x4

No. 23
The following is a DFT calculation (GGA-PBE) of a geometry-optimized Tb4Er3ThS8 structure.

Summary:
ΔE_f (raw) = -31.2 eV per formula unit

abc: 7.8513 7.8513 19.1716
angles: 90.00 90.00 120.00
Space group R-3m (No. 166, hexagonal axes)
Asymmetric unit:
Tb 0.0000 0.0000 0.0000 x3
Tb 0.0000 0.5000 0.0000 x9
Er 0.0000 0.5000 0.5000 x9
Th 0.0000 0.0000 0.5000 x3
S 0.0000 0.0000 0.2478 x6
S 0.0078 0.5039 0.7502 x18

No. 24
The following is a DFT calculation (GGA-PBE) of a geometry-optimized DyPa2TaC4 structure.

Summary:
energy of formation = -0.435 eV per atom

abc: 6.8952 7.0134 9.8586
angles: 90.00 90.00 90.00
Space group Imma (No. 74)
Asymmetric unit:
Dy 0.0000 0.0000 0.0000 x4
Pa 0.0000 0.0000 0.5000 x4
Pa 0.2500 0.2500 0.2500 x4
Ta 0.2500 0.2500 0.7500 x4
C 0.0000 0.0193 0.7481 x8
C 0.2403 0.2500 0.5125 x8

No. 25
The following is a DFT calculation (GGA-PBE) of a geometry-optimized In2POs structure.

Summary:
energy of formation = 0.185 eV per atom

abc: 10.4982 3.0827 4.9895
angles: 90.00 108.31 90.00
Space group Cm (No. 8)
Asymmetric unit:
In 0.0000 0.0000 0.0000 x2
In 0.1989 0.0000 0.6374 x2
P 0.2917 0.5000 0.2178 x2
Os 0.4468 0.0000 0.4859 x2

No. 26
The following is a DFT calculation (GGA-PBE) of a geometry-optimized TbPuS2 structure.

Summary:
ΔE_f (raw) = -7.2 eV per formula unit
relative energy among the computed polymorphs = 112 meV/atom

abc: 3.8345 3.8345 20.7583
angles: 90.00 90.00 120.00
Space group R3m (No. 160, hexagonal axes)
Asymmetric unit:
Tb 0.0000 0.0000 0.0000 x3
Pu 0.0000 0.0000 0.1759 x3
S 0.0000 0.0000 0.5869 x3
S 0.0000 0.0000 0.7546 x3